1.
Ag4IOF: optimized geometry, PBE-GGA.

Cell: 4.401 8.236 7.207 Å, 90.00 94.79 90.00°
Space group P2_1 (No. 4)
Symmetry-distinct sites (fractional):
Ag  0.002  0.000  0.026 (multiplicity 2)
Ag  0.249  0.638  0.360 (multiplicity 2)
Ag  0.452  0.485  0.707 (multiplicity 2)
Ag  0.470  0.253  0.015 (multiplicity 2)
I  0.184  0.258  0.425 (multiplicity 2)
O  0.048  0.746  0.073 (multiplicity 2)
F  0.393  0.995  0.793 (multiplicity 2)

***

2.
InAgF4: optimized geometry, PBE-GGA.

Cell: 5.759 5.248 5.614 Å, 90.00 97.96 90.00°
Space group P2_1/c (No. 14)
Symmetry-distinct sites (fractional):
In  0.000  0.000  0.000 (multiplicity 2)
Ag  0.500  0.000  0.500 (multiplicity 2)
F  0.121  0.167  0.697 (multiplicity 4)
F  0.322  0.643  0.618 (multiplicity 4)

***

3.
K2InAgF6: optimized geometry, PBE-GGA.

## Properties
The energy above the most stable polymorph in this dataset is 0 meV per atom.

Cell: 8.722 8.722 8.722 Å, 90.00 90.00 90.00°
Space group Fm-3m (No. 225)
Symmetry-distinct sites (fractional):
K  0.250  0.250  0.250 (multiplicity 8)
In  0.000  0.000  0.000 (multiplicity 4)
Ag  0.000  0.000  0.500 (multiplicity 4)
F  0.000  0.000  0.236 (multiplicity 24)

***

4.
K2InAgF6: optimized geometry, PBE-GGA.

## Properties
The energy above the most stable polymorph in this dataset is 6 meV per atom.

Cell: 6.1846 6.1846 13.7084 Å, 90.00 90.00 120.00°
Space group R3 (No. 146, hexagonal axes)
Symmetry-distinct sites (fractional):
K  0.0000  0.0000  0.0000 (multiplicity 3)
K  0.0000  0.0000  0.4904 (multiplicity 3)
In  0.0000  0.0000  0.7450 (multiplicity 3)
Ag  0.0000  0.0000  0.2459 (multiplicity 3)
F  0.0318  0.4213  0.4957 (multiplicity 9)
F  0.0883  0.7207  0.3265 (multiplicity 9)

***

| no. | E_tot (eV per atom) |
| --- | --- |
| 1 | -3.11 |
| 2 | -4.15 |
| 3 | -4.22 |
| 4 | -4.22 |